Record 1
Compound: CeMg5Hg2
Source: Alexandria
Functional: PBE-GGA
Structure: optimized geometry

Properties
* total moment: 0.15 μB/atom
* crystal system: orthorhombic
* raw total energy: -1.9981 eV per atom
* theoretical density: 5.71 g cm⁻³

Cell lengths 3.907, 8.756, 11.269 Å; angles 90.00, 90.00, 90.00 degrees
Space group Immm (No. 71)
Inequivalent atoms, fractional coordinates:
Ce  0.000  0.000  0.000 (multiplicity 2)
Mg  0.000  0.200  0.358 (multiplicity 8)
Mg  0.000  0.500  0.000 (multiplicity 2)
Hg  0.000  0.500  0.264 (multiplicity 4)

=====

Record 2
Compound: CePt2Pb
Source: Alexandria
Functional: PBE-GGA
Structure: optimized geometry

Properties
* total moment: 0.16 μB/atom
* crystal system: tetragonal
* raw total energy: -6.0324 eV per atom
* theoretical density: 13.96 g cm⁻³

Cell lengths 4.864, 4.864, 3.708 Å; angles 90.00, 90.00, 90.00 degrees
Space group P4/mmm (No. 123)
Inequivalent atoms, fractional coordinates:
Ce  0.000  0.000  0.000 (multiplicity 1)
Pt  0.000  0.500  0.500 (multiplicity 2)
Pb  0.500  0.500  0.000 (multiplicity 1)

=====

Record 3
Compound: Nd3ZnSi2Pt9
Source: Alexandria
Functional: PBE-GGA
Structure: optimized geometry

Properties
* total moment: 0.00 μB/atom
* crystal system: trigonal
* raw total energy: -6.1965 eV per atom
* theoretical density: 12.50 g cm⁻³

Cell lengths 5.7548, 5.7548, 10.6997 Å; angles 90.00, 90.00, 120.00 degrees
Space group P-3m1 (No. 164)
Inequivalent atoms, fractional coordinates:
Nd  0.0000  0.0000  0.0000 (multiplicity 1)
Nd  0.3333  0.6667  0.5897 (multiplicity 2)
Zn  0.0000  0.0000  0.5000 (multiplicity 1)
Si  0.3333  0.6667  0.1626 (multiplicity 2)
Pt  0.0000  0.5000  0.0000 (multiplicity 3)
Pt  0.1619  0.3239  0.3138 (multiplicity 6)

=====

Record 4
Compound: NpPtAu
Source: Alexandria
Functional: PBE-GGA
Structure: optimized geometry

Properties
* total moment: 1.31 μB/atom
* crystal system: orthorhombic
* distance to the lowest polymorph of the same formula: 200 meV per atom
* theoretical density: 15.27 g cm⁻³

Cell lengths 6.577, 7.316, 11.373 Å; angles 90.00, 90.00, 90.00 degrees
Space group Cmce (No. 64)
Inequivalent atoms, fractional coordinates:
Np  0.000  0.204  0.153 (multiplicity 8)
Pt  0.000  0.213  0.879 (multiplicity 8)
Au  0.209  0.000  0.500 (multiplicity 8)

=====

Record 5
Compound: SnMo3Br
Source: Alexandria
Functional: PBE-GGA
Structure: optimized geometry

Properties
* total moment: 0.00 μB/atom
* crystal system: cubic
* distance to the lowest polymorph of the same formula: 961 meV per atom
* theoretical density: 6.42 g cm⁻³

Cell lengths 5.011, 5.011, 5.011 Å; angles 90.00, 90.00, 90.00 degrees
Space group Pm-3m (No. 221)
Inequivalent atoms, fractional coordinates:
Sn  0.000  0.000  0.000 (multiplicity 1)
Mo  0.000  0.000  0.500 (multiplicity 3)
Br  0.500  0.500  0.500 (multiplicity 1)

=====

Record 6
Compound: La6PmPrDy2
Source: Alexandria
Functional: PBE-GGA
Structure: optimized geometry

Properties
* total moment: 0.00 μB/atom
* crystal system: monoclinic
* raw total energy: -4.6455 eV per atom
* theoretical density: 6.64 g cm⁻³

Cell lengths 11.349, 7.263, 8.994 Å; angles 90.00, 102.90, 90.00 degrees
Space group C2/m (No. 12)
Inequivalent atoms, fractional coordinates:
La  0.139  0.000  0.437 (multiplicity 4)
La  0.178  0.277  0.800 (multiplicity 8)
Pm  0.000  0.500  0.500 (multiplicity 2)
Pr  0.000  0.000  0.000 (multiplicity 2)
Dy  0.093  0.500  0.159 (multiplicity 4)

=====

What did the first record say?
Compound: CeMg5Hg2
Source: Alexandria
Functional: PBE-GGA
Structure: optimized geometry

Properties
* total moment: 0.15 μB/atom
* crystal system: orthorhombic
* raw total energy: -1.9981 eV per atom
* theoretical density: 5.71 g cm⁻³

Cell lengths 3.907, 8.756, 11.269 Å; angles 90.00, 90.00, 90.00 degrees
Space group Immm (No. 71)
Inequivalent atoms, fractional coordinates:
Ce  0.000  0.000  0.000 (multiplicity 2)
Mg  0.000  0.200  0.358 (multiplicity 8)
Mg  0.000  0.500  0.000 (multiplicity 2)
Hg  0.000  0.500  0.264 (multiplicity 4)